[1]
DFT (PBE) results for crystalline Sr2ScWAu at its relaxed geometry.

Cell: 5.839 5.839 5.052 Å, 90.00 90.00 90.00°
Sites, in units of the cell vectors:
Sr 0.000 0.500 0.000
Sr 0.500 0.000 0.000
Sc 0.000 0.000 0.500
W 0.500 0.500 0.500
Au 0.500 0.500 0.000

Computed properties:
formation energy	0.926	eV per atom
E_tot	-4.2593	eV per atom
crystal system	tetragonal

---

[2]
DFT (PBE) results for crystalline SrScZn2Au5 at its relaxed geometry.

Cell: 4.960 4.960 7.839 Å, 90.00 90.00 90.00°
Sites, in units of the cell vectors:
Sr 0.000 0.000 0.000
Sc 0.000 0.000 0.500
Zn 0.500 0.500 0.338
Zn 0.500 0.500 0.662
Au 0.000 0.500 0.290
Au 0.000 0.500 0.710
Au 0.500 0.000 0.290
Au 0.500 0.000 0.710
Au 0.500 0.500 0.000

Computed properties:
formation energy	-0.377	eV per atom
E_tot	-3.3714	eV per atom
crystal system	tetragonal

---

[3]
DFT (PBE) results for crystalline ScTaAu2 at its relaxed geometry.

Cell: 9.496 9.496 9.496 Å, 18.55 18.55 18.55°
Sites, in units of the cell vectors:
Sc 0.000 0.000 0.000
Ta 0.500 0.500 0.500
Au 0.251 0.251 0.251
Au 0.749 0.749 0.749

Computed properties:
formation energy	-0.084	eV per atom
E_tot	-6.2688	eV per atom
crystal system	trigonal
E above lowest polymorph	234	meV/atom

---

[4]
DFT (PBE) results for crystalline ScTaAu2 at its relaxed geometry.

Cell: 4.738 4.738 4.738 Å, 60.00 60.00 60.00°
Sites, in units of the cell vectors:
Sc 0.000 0.000 0.000
Ta 0.500 0.500 0.500
Au 0.250 0.250 0.250
Au 0.750 0.750 0.750

Computed properties:
formation energy	-0.222	eV per atom
E_tot	-6.4071	eV per atom
crystal system	cubic
E above lowest polymorph	96	meV/atom

---

[5]
DFT (PBE) results for crystalline ScTa3Au at its relaxed geometry.

Cell: 4.712 4.712 4.712 Å, 90.00 90.00 90.00°
Sites, in units of the cell vectors:
Sc 0.000 0.000 0.000
Ta 0.000 0.000 0.500
Ta 0.000 0.500 0.000
Ta 0.500 0.000 0.000
Au 0.500 0.500 0.500

Computed properties:
formation energy	1.849	eV per atom
E_tot	-7.1841	eV per atom
crystal system	cubic
E above lowest polymorph	375	meV/atom

---

[6]
DFT (PBE) results for crystalline Sc3TaAu at its relaxed geometry.

Cell: 5.060 5.060 5.060 Å, 90.00 90.00 90.00°
Sites, in units of the cell vectors:
Sc 0.000 0.000 0.500
Sc 0.000 0.500 0.000
Sc 0.500 0.000 0.000
Ta 0.000 0.000 0.000
Au 0.500 0.500 0.500

Computed properties:
formation energy	0.650	eV per atom
E_tot	-6.1747	eV per atom
crystal system	cubic
E above lowest polymorph	7	meV/atom